1.
Computed, not measured: a relaxed NdDy2SbN4 crystal at the GGA-PBE level of DFT.

## Properties
Space-group type ... Cmcm, No. 63
E_form (uncorrected) ... -807 meV/atom
V ... 261 Å³ per cell

a b c (Å): 6.959 6.959 11.554
angles (deg): 90.00 90.00 152.21
Sites, in units of the cell vectors:
Nd (0.238, 0.762, 0.750)
Nd (0.762, 0.238, 0.250)
Dy (0.369, 0.631, 0.004)
Dy (0.369, 0.631, 0.496)
Dy (0.631, 0.369, 0.504)
Dy (0.631, 0.369, 0.996)
Sb (0.013, 0.987, 0.250)
Sb (0.987, 0.013, 0.750)
N (0.000, 0.000, 0.000)
N (0.000, 0.000, 0.500)
N (0.212, 0.788, 0.106)
N (0.212, 0.788, 0.394)
N (0.411, 0.589, 0.250)
N (0.589, 0.411, 0.750)
N (0.788, 0.212, 0.606)
N (0.788, 0.212, 0.894)

=====

2.
Computed, not measured: a relaxed Pr2Zn5Cu3 crystal at the GGA-PBE level of DFT.

## Properties
Space-group type ... Ibam, No. 72
ΔE_f ... -0.240 eV per atom
V ... 371 Å³ per cell

a b c (Å): 8.456 8.456 8.456
angles (deg): 100.60 93.58 138.90
Sites, in units of the cell vectors:
Pr (0.126, 0.246, 0.372)
Pr (0.374, 0.746, 0.120)
Pr (0.626, 0.254, 0.880)
Pr (0.874, 0.754, 0.628)
Zn (0.007, 0.750, 0.257)
Zn (0.123, 0.869, 0.992)
Zn (0.250, 0.750, 0.500)
Zn (0.377, 0.369, 0.746)
Zn (0.493, 0.750, 0.743)
Zn (0.507, 0.250, 0.257)
Zn (0.623, 0.631, 0.254)
Zn (0.750, 0.250, 0.500)
Zn (0.877, 0.131, 0.008)
Zn (0.993, 0.250, 0.743)
Cu (0.122, 0.639, 0.762)
Cu (0.250, 0.250, 0.000)
Cu (0.378, 0.139, 0.517)
Cu (0.622, 0.861, 0.483)
Cu (0.750, 0.750, 0.000)
Cu (0.878, 0.361, 0.238)

=====

3.
Computed, not measured: a relaxed Ba4H crystal at the GGA-PBE level of DFT.

## Properties
Space-group type ... Pm-3m, No. 221
Offset from the most stable computed form ... 0 meV per atom
V ... 235 Å³ per cell

a b c (Å): 6.170 6.170 6.170
angles (deg): 90.00 90.00 90.00
Sites, in units of the cell vectors:
Ba (0.000, 0.000, 0.000)
Ba (0.000, 0.500, 0.500)
Ba (0.500, 0.000, 0.500)
Ba (0.500, 0.500, 0.000)
H (0.500, 0.500, 0.500)

=====

Which of these has the lowest V? Ba4H

=====

Repeat the third record exactly.
Computed, not measured: a relaxed Ba4H crystal at the GGA-PBE level of DFT.

## Properties
Space-group type ... Pm-3m, No. 221
Offset from the most stable computed form ... 0 meV per atom
V ... 235 Å³ per cell

a b c (Å): 6.170 6.170 6.170
angles (deg): 90.00 90.00 90.00
Sites, in units of the cell vectors:
Ba (0.000, 0.000, 0.000)
Ba (0.000, 0.500, 0.500)
Ba (0.500, 0.000, 0.500)
Ba (0.500, 0.500, 0.000)
H (0.500, 0.500, 0.500)

=====

The lowest V belongs to which entry? Ba4H

=====

Which value of V does entry 3 give? 235 Å³ per cell